This record from Alexandria via LeMat-Bulk describes a relaxed HoVSn crystal. The functional is GGA-PBE.

Computed properties:
- Magnetic moment: 0.00 μB per cell
- DOS(E_F): 1.78 states/eV/f.u.
- Density: 8.523 g/cm3
- Energy relative to the elements: -0.035 eV/atom

Cell and atoms, written as CIF:
```
data_HoVSn
_symmetry_space_group_name_H-M 'I 4 m m'
_symmetry_Int_Tables_number 107
_symmetry_space_group_name_Hall 'I 4 -2'
_cell_length_a 3.5568
_cell_length_b 3.5568
_cell_length_c 10.3051
_cell_angle_alpha 90.00
_cell_angle_beta 90.00
_cell_angle_gamma 90.00
loop_
_atom_site_label
_atom_site_type_symbol
_atom_site_fract_x
_atom_site_fract_y
_atom_site_fract_z
_atom_site_occupancy
Ho1 Ho 0.0000 0.0000 0.0000 1
V1 V 0.0000 0.0000 0.6776 1
Sn1 Sn 0.0000 0.0000 0.3018 1
```